No. 1
Cs4Sb2Te5 after structural relaxation, computed with GGA-PBE.

Unit cell a=12.6082 b=23.4254 c=6.5871 alpha=90.00 beta=90.00 gamma=90.00
Space group Ibam (No. 72)
Asymmetric unit:
Cs1 0.1241 0.1527 0.0000 x8
Cs2 0.2282 0.4353 0.0000 x8
Sb1 0.0000 0.3140 0.2500 x8
Te1 0.0000 0.0000 0.2500 x4
Te2 0.0940 0.4130 0.5000 x8
Te3 0.1450 0.2345 0.5000 x8

Output
Formation energy without anion corrections in eV/atom: -0.547
Crystal system: orthorhombic
E_tot in eV for the cell shown: -133.538

***

No. 2
CsSb3Te3 after structural relaxation, computed with GGA-PBE.

Unit cell a=8.1191 b=8.1191 c=30.8025 alpha=90.00 beta=90.00 gamma=120.00
Space group R-3 (No. 148, hexagonal axes)
Asymmetric unit:
Cs1 0.0000 0.0000 0.1606 x6
Sb1 0.0435 0.2692 0.9553 x18
Te1 0.0236 0.4295 0.0775 x18

Output
Formation energy without anion corrections in eV/atom: -0.096
Crystal system: trigonal
Polymorph energy (0 for the lowest one) in eV per atom: 0.0000
E_tot in eV for the cell shown: -139.919

***

No. 3
CsSb3Te3 after structural relaxation, computed with GGA-PBE.

Unit cell a=8.7185 b=8.7185 c=8.7185 alpha=90.00 beta=90.00 gamma=90.00
Space group Pm-3n (No. 223)
Asymmetric unit:
Cs1 0.0000 0.0000 0.0000 x2
Sb1 0.0000 0.2500 0.5000 x6
Te1 0.0000 0.5000 0.2500 x6

Output
Formation energy without anion corrections in eV/atom: 0.093
Crystal system: cubic
Polymorph energy (0 for the lowest one) in eV per atom: 0.1896
E_tot in eV for the cell shown: -43.985

***

No. 4
CsSbTe2 after structural relaxation, computed with GGA-PBE.

Unit cell a=8.9292 b=8.9292 c=10.1798 alpha=90.00 beta=90.00 gamma=90.00
Space group I-42d (No. 122)
Asymmetric unit:
Cs1 0.0000 0.0000 0.0000 x4
Sb1 0.0000 0.0000 0.5000 x4
Te1 0.1663 0.2500 0.6250 x8

Output
Formation energy without anion corrections in eV/atom: -0.417
Crystal system: tetragonal
E_tot in eV for the cell shown: -51.716

***

No. 5
CsSb2Te4 after structural relaxation, computed with GGA-PBE.

Unit cell a=4.3128 b=14.5697 c=16.9879 alpha=90.00 beta=90.00 gamma=90.00
Space group Cmcm (No. 63)
Asymmetric unit:
Cs1 0.0000 0.0851 0.2500 x4
Sb1 0.0000 0.3591 0.0636 x8
Te1 0.0000 0.0000 0.0000 x4
Te2 0.0000 0.2801 0.5981 x8
Te3 0.0000 0.3659 0.2500 x4

Output
Formation energy without anion corrections in eV/atom: -0.262
Crystal system: orthorhombic
Polymorph energy (0 for the lowest one) in eV per atom: 0.0442
E_tot in eV for the cell shown: -93.997

***

No. 6
Cs3ThSb2Te6 after structural relaxation, computed with GGA-PBE.

Unit cell a=8.0850 b=14.3252 c=9.1464 alpha=90.00 beta=107.30 gamma=90.00
Space group C2/m (No. 12)
Asymmetric unit:
Cs1 0.0000 0.0000 0.0000 x2
Cs2 0.0000 0.3309 0.0000 x4
Th1 0.0000 0.5000 0.5000 x2
Sb1 0.0000 0.1643 0.5000 x4
Te1 0.2302 0.0000 0.6875 x4
Te2 0.2309 0.3350 0.6854 x8

Output
Formation energy without anion corrections in eV/atom: -0.737
Crystal system: monoclinic
E_tot in eV for the cell shown: -91.835

***

No. 7
CsTiSbTe2 after structural relaxation, computed with GGA-PBE.

Unit cell a=5.5595 b=5.5595 c=5.4218 alpha=90.00 beta=90.00 gamma=90.00
Space group P4/mmm (No. 123)
Asymmetric unit:
Cs1 0.0000 0.0000 0.0000 x1
Ti1 0.5000 0.5000 0.5000 x1
Sb1 0.5000 0.5000 0.0000 x1
Te1 0.0000 0.5000 0.5000 x2

Output
Formation energy without anion corrections in eV/atom: -0.444
Crystal system: tetragonal
Polymorph energy (0 for the lowest one) in eV per atom: 0.0000
E_tot in eV for the cell shown: -21.377

***

No. 8
CsTiSbTe2 after structural relaxation, computed with GGA-PBE.

Unit cell a=6.2158 b=6.2158 c=6.0907 alpha=90.00 beta=90.00 gamma=90.00
Space group P4/mmm (No. 123)
Asymmetric unit:
Cs1 0.0000 0.0000 0.0000 x1
Ti1 0.5000 0.5000 0.5000 x1
Sb1 0.0000 0.0000 0.5000 x1
Te1 0.0000 0.5000 0.0000 x2

Output
Formation energy without anion corrections in eV/atom: 1.630
Crystal system: tetragonal
Polymorph energy (0 for the lowest one) in eV per atom: 2.0748
E_tot in eV for the cell shown: -11.003